Entry 1:
First-principles (GGA-PBE) data for a relaxed structure of Sm3AlS6, as listed in Alexandria.

Geometry as extended XYZ:
```
20
Lattice="6.568 0.000 0.000 0.000 8.700 0.044 0.000 -1.898 8.490" Properties=species:S:1:pos:R:3 pbc="T T T"
Sm 3.168 6.613 6.111
Sm 6.452 4.481 7.810
Sm 2.609 2.335 5.116
Sm 5.893 4.466 3.418
Sm 6.452 0.188 2.424
Sm 3.168 2.320 0.724
Al 0.155 0.209 6.811
Al 3.439 6.593 1.723
S 1.248 4.780 5.427
S 4.532 4.224 5.871
S 1.250 2.003 7.648
S 4.534 7.008 3.659
S 1.040 -1.452 8.134
S 4.471 0.399 6.659
S 1.187 6.403 1.875
S 4.324 8.253 0.400
S 1.250 -0.207 4.875
S 4.534 4.798 0.886
S 1.248 2.578 2.664
S 4.532 2.021 3.107
```

Output
Space group ... No. 36
Total moment ... 0.0 Bohr magnetons per cell
Formation energy (no corrections) ... -42.49 kcal/mol of atoms

***

Entry 2:
First-principles (GGA-PBE) data for a relaxed structure of Sm9Al5S21, as listed in Alexandria.

Geometry as extended XYZ:
```
70
Lattice="11.604 0.030 0.033 -0.941 11.566 0.033 -0.941 -1.024 11.521" Properties=species:S:1:pos:R:3 pbc="T T T"
Sm 9.429 8.453 1.376
Sm 2.120 0.374 5.251
Sm 5.314 3.828 8.863
Sm 8.002 6.005 4.622
Sm -0.193 9.446 8.544
Sm 4.999 2.547 0.852
Sm 0.195 5.033 2.614
Sm 3.370 8.313 6.402
Sm 7.634 0.447 10.187
Sm 4.284 6.561 2.428
Sm 7.620 10.230 6.378
Sm 0.106 1.949 10.101
Sm 4.760 8.046 10.770
Sm 9.837 0.933 2.863
Sm 1.454 4.422 6.755
Sm 1.933 10.034 1.190
Sm 6.179 1.978 5.020
Sm 9.556 5.580 8.997
Al 3.782 -0.180 8.318
Al 7.953 4.464 0.581
Al -0.496 7.940 4.498
Al 1.263 5.444 10.198
Al 5.319 9.999 2.639
Al 9.519 2.067 6.353
Al 8.345 9.076 9.947
Al 1.700 1.849 2.026
Al 6.574 7.149 7.835
Al 3.468 3.771 4.133
S 4.950 1.140 9.696
S 9.103 5.732 2.021
S 0.722 9.196 5.892
S -0.875 3.241 7.766
S 3.303 7.788 0.111
S 7.485 -0.250 3.937
S 4.681 -0.438 6.263
S 7.941 3.245 10.065
S 0.388 7.814 2.413
S 1.651 0.528 8.001
S 5.863 5.190 0.136
S 9.028 8.727 4.150
S 2.568 9.275 9.070
S 7.754 2.308 1.257
S -0.829 5.814 5.181
S -0.585 4.545 11.125
S 3.432 9.110 3.477
S 7.619 1.235 7.280
S 2.334 3.640 9.390
S 6.474 8.190 1.895
S 10.675 0.310 5.542
S 0.593 6.547 8.329
S 4.578 11.097 0.815
S 8.791 3.080 4.482
S 3.928 3.028 6.387
S 7.357 6.829 10.319
S 0.932 -0.234 2.735
S 2.657 1.158 0.017
S 5.733 4.424 3.599
S 9.003 8.140 7.743
S 6.189 9.554 8.813
S -0.311 2.640 1.155
S 2.689 5.979 4.734
S 2.802 4.206 1.779
S 6.086 7.924 5.692
S 10.151 -0.345 9.192
S 4.418 6.478 8.411
S 8.303 10.884 0.496
S 1.148 2.909 4.351
S -1.193 8.232 10.884
S 3.957 1.484 3.294
S 7.387 5.054 7.220
```

Output
Space group ... No. 146
Total moment ... 0.0 Bohr magnetons per cell
Formation energy (no corrections) ... -40.00 kcal/mol of atoms